1.
The following is a DFT calculation (PBE) of crystalline CdSbTe2S at its relaxed geometry.

theoretical density: 5.14 g cm⁻³
spin magnetization: 0.000 μB/cell
energy above the lowest structure with this stoichiometry: 2.51 eV/f.u.
V: 168.3 Å³/cell

a = 5.4808 Å, b = 5.4808 Å, c = 5.6040 Å
α = 90.00°, β = 90.00°, γ = 90.00°
Last column: nearest neighbours and their distance in Å.
Space group P4/mmm (No. 123)
Inequivalent atoms, fractional coordinates:
Cd  0.0000  0.0000  0.0000  4 Te 2.74, 2 Sb 2.80
Sb  0.0000  0.0000  0.5000  2 Cd 2.80
Te  0.0000  0.5000  0.0000  2 Cd 2.74
S  0.5000  0.5000  0.5000  4 Sb 3.88, 8 Te 3.92

=====

2.
The following is a DFT calculation (PBE) of crystalline Pa2Co6P at its relaxed geometry.

theoretical density: 11.30 g cm⁻³
spin magnetization: 0.000 μB/cell
total DFT energy (no corrections): -7.886 eV/atom
V: 497.8 Å³/cell

a = 7.9252 Å, b = 7.9252 Å, c = 7.9252 Å
α = 90.00°, β = 90.00°, γ = 90.00°
Last column: nearest neighbours and their distance in Å.
Space group Fm-3m (No. 225)
Inequivalent atoms, fractional coordinates:
Pa  0.2500  0.2500  0.2500  12 Co 2.81
Co  0.0000  0.0000  0.2283  1 P 2.15
P  0.0000  0.0000  0.5000  6 Co 2.15

=====

3.
The following is a DFT calculation (PBE) of crystalline ZrAsP at its relaxed geometry.

theoretical density: 5.26 g cm⁻³
spin magnetization: 0.000 μB/cell
energy above the lowest structure with this stoichiometry: 1.71 eV/f.u.
V: 249.0 Å³/cell

a = 3.8643 Å, b = 4.7734 Å, c = 13.4967 Å
α = 90.00°, β = 90.00°, γ = 90.00°
Last column: nearest neighbours and their distance in Å.
Space group Fmm2 (No. 42)
Inequivalent atoms, fractional coordinates:
Zr  0.0000  0.0000  0.0000  2 P 2.61, 2 As 2.80
As  0.0000  0.0000  0.3496  4 Zr 2.80-3.13, 4 As 3.07
P  0.0000  0.0000  0.6298  2 Zr 2.61

=====

4.
The following is a DFT calculation (PBE) of crystalline Hf4CdPd5 at its relaxed geometry.

theoretical density: 12.32 g cm⁻³
spin magnetization: 0.000 μB/cell
total DFT energy (no corrections): -7.291 eV/atom
V: 183.1 Å³/cell

a = 3.3387 Å, b = 3.3387 Å, c = 16.4217 Å
α = 90.00°, β = 90.00°, γ = 90.00°
Last column: nearest neighbours and their distance in Å.
Space group P4/mmm (No. 123)
Inequivalent atoms, fractional coordinates:
Hf  0.0000  0.0000  0.0999  8 Pd 2.87-2.90
Hf  0.0000  0.0000  0.3017  8 Pd 2.80-2.87
Cd  0.0000  0.0000  0.5000  8 Pd 2.94, 2 Hf 3.26
Pd  0.5000  0.5000  0.0000  8 Hf 2.87
Pd  0.5000  0.5000  0.2019  8 Hf 2.87-2.90, 1 Pd 3.14
Pd  0.5000  0.5000  0.3928  4 Hf 2.80, 4 Cd 2.94

=====

5.
The following is a DFT calculation (PBE) of crystalline GeHSeO at its relaxed geometry.

theoretical density: 4.40 g cm⁻³
spin magnetization: 0.000 μB/cell
energy above the lowest structure with this stoichiometry: 0.39 eV/f.u.
V: 127.3 Å³/cell

a = 14.2791 Å, b = 3.4715 Å, c = 2.6088 Å
α = 90.00°, β = 100.04°, γ = 90.00°
Last column: nearest neighbours and their distance in Å.
Space group Cm (No. 8)
Inequivalent atoms, fractional coordinates:
Ge  0.0000  0.0000  0.0000  2 O 2.16
H  0.1211  0.5000  0.7773  1 O 0.99
Se  0.3531  0.0000  0.8607  2 Se 2.61, 2 Ge 2.70
O  0.0917  0.5000  0.0962  1 H 0.99

=====

6.
The following is a DFT calculation (PBE) of crystalline CuCl3F at its relaxed geometry.

theoretical density: 2.61 g cm⁻³
spin magnetization: 7.307 μB/cell
energy above the lowest structure with this stoichiometry: 0.00 eV/f.u.
V: 480.0 Å³/cell

a = 5.5759 Å, b = 10.9519 Å, c = 7.8597 Å
α = 90.00°, β = 90.00°, γ = 90.00°
Last column: nearest neighbours and their distance in Å.
Space group Imma (No. 74)
Inequivalent atoms, fractional coordinates:
Cu  0.2500  0.2500  0.2500  2 F 1.90
Cl  0.0000  0.2500  0.0153  2 Cu 2.31
Cl  0.2500  0.0249  0.2500  1 Cu 2.47
F  0.0000  0.2500  0.4148  2 Cu 1.90

=====

7.
The following is a DFT calculation (PBE) of crystalline Sm2Si3 at its relaxed geometry.

theoretical density: 6.05 g cm⁻³
spin magnetization: 0.000 μB/cell
total DFT energy (no corrections): -5.830 eV/atom
V: 423.0 Å³/cell

a = 4.2668 Å, b = 24.8054 Å, c = 3.9963 Å
α = 90.00°, β = 90.00°, γ = 90.00°
Last column: nearest neighbours and their distance in Å.
Space group Cmcm (No. 63)
Inequivalent atoms, fractional coordinates:
Sm  0.0000  0.0690  0.2500  12 Si 3.13-3.40
Sm  0.0000  0.2021  0.7500  7 Si 2.97-3.03
Si  0.0000  0.3242  0.7500  2 Si 2.45
Si  0.0000  0.3813  0.2500  3 Si 2.34-2.45
Si  0.0000  0.4755  0.2500  3 Si 2.34

=====

8.
The following is a DFT calculation (PBE) of crystalline SrLiBi2 at its relaxed geometry.

theoretical density: 6.91 g cm⁻³
spin magnetization: 0.000 μB/cell
energy above the lowest structure with this stoichiometry: 0.38 eV/f.u.
V: 492.6 Å³/cell

a = 7.8976 Å, b = 7.8976 Å, c = 7.8976 Å
α = 90.00°, β = 90.00°, γ = 90.00°
Last column: nearest neighbours and their distance in Å.
Space group Fm-3m (No. 225)
Inequivalent atoms, fractional coordinates:
Sr  0.0000  0.0000  0.0000  8 Bi 3.42
Li  0.0000  0.0000  0.5000  8 Bi 3.42
Bi  0.2500  0.2500  0.2500  4 Sr 3.42, 4 Li 3.42